(1)
First-principles (PBE-GGA) data for a geometry-optimized Sr2CaEu structure, as listed in Alexandria.

a = 5.8209 Å, b = 5.8209 Å, c = 5.8041 Å
α = 90.00°, β = 90.00°, γ = 90.00°
Last column: nearest neighbours and their distance in Å.
Element x y z (fractional)
Sr1 0.0000 0.5000 0.0000  4 Ca 4.11, 4 Eu 4.11, 4 Sr 4.12
Sr2 0.5000 0.0000 0.0000  4 Ca 4.11, 4 Eu 4.11, 4 Sr 4.12
Ca1 0.0000 0.0000 0.5000  8 Sr 4.11, 4 Eu 4.12
Eu1 0.5000 0.5000 0.5000  8 Sr 4.11, 4 Ca 4.12

ΔE to the lowest computed polymorph = 7 meV/atom
Fermi-level density of states = 4.09 states/eV/cell
symmetry = P4/mmm, No. 123
formation energy = 34 meV per atom


(2)
First-principles (PBE-GGA) data for a geometry-optimized PAuO3 structure, as listed in Alexandria.

a = 3.6193 Å, b = 3.6193 Å, c = 3.6193 Å
α = 90.00°, β = 90.00°, γ = 90.00°
Last column: nearest neighbours and their distance in Å.
Element x y z (fractional)
P1 0.0000 0.0000 0.0000  6 O 1.81
Au1 0.5000 0.5000 0.5000  12 O 2.56
O1 0.0000 0.0000 0.5000  2 P 1.81
O2 0.0000 0.5000 0.0000  2 P 1.81
O3 0.5000 0.0000 0.0000  2 P 1.81

Fermi-level density of states = 7.37 states/eV/cell
raw formation energy = -1.3 eV per formula unit
symmetry = Pm-3m, No. 221


(3)
First-principles (PBE-GGA) data for a geometry-optimized Zn3WC structure, as listed in Alexandria.

a = 5.0169 Å, b = 5.0169 Å, c = 5.0169 Å
α = 90.00°, β = 90.00°, γ = 90.00°
Last column: nearest neighbours and their distance in Å.
Element x y z (fractional)
Zn1 0.0000 0.0000 0.5000  2 W 2.51
Zn2 0.0000 0.5000 0.0000  2 W 2.51
Zn3 0.5000 0.0000 0.0000  2 W 2.51
W1 0.0000 0.0000 0.0000  6 Zn 2.51
C1 0.5000 0.5000 0.5000  12 Zn 3.55

ΔE to the lowest computed polymorph = 1183 meV/atom
Fermi-level density of states = 3.62 states/eV/cell
symmetry = Pm-3m, No. 221
formation energy = 2442 meV per atom


(4)
First-principles (PBE-GGA) data for a geometry-optimized Tb4PmPr10 structure, as listed in Alexandria.

a = 9.1270 Å, b = 9.1270 Å, c = 9.1270 Å
α = 101.03°, β = 101.03°, γ = 128.13°
Last column: nearest neighbours and their distance in Å.
Element x y z (fractional)
Tb1 0.2307 0.2307 0.4613  8 Pr 3.54-3.61, 1 Pm 3.79
Tb2 0.2307 0.7693 0.0000  8 Pr 3.54-3.61, 1 Pm 3.79
Tb3 0.7693 0.2307 0.0000  8 Pr 3.54-3.61, 1 Pm 3.79
Tb4 0.7693 0.7693 0.5387  8 Pr 3.54-3.61, 1 Pm 3.79
Pm1 0.0000 0.0000 0.0000  8 Pr 3.40, 4 Tb 3.79
Pr1 0.0735 0.2885 0.7850  4 Pr 3.32-3.53, 1 Pm 3.40, 4 Tb 3.54-3.61
Pr2 0.2500 0.7500 0.5000  4 Pr 3.32
Pr3 0.2885 0.0735 0.7850  4 Pr 3.32-3.53, 1 Pm 3.40, 4 Tb 3.54-3.61
Pr4 0.2885 0.5034 0.2150  4 Pr 3.32-3.53, 1 Pm 3.40, 4 Tb 3.54-3.61
Pr5 0.4966 0.7115 0.7850  4 Pr 3.32-3.53, 1 Pm 3.40, 4 Tb 3.54-3.61
Pr6 0.5034 0.2885 0.2150  4 Pr 3.32-3.53, 1 Pm 3.40, 4 Tb 3.54-3.61
Pr7 0.7115 0.4966 0.7850  4 Pr 3.32-3.53, 1 Pm 3.40, 4 Tb 3.54-3.61
Pr8 0.7115 0.9265 0.2150  4 Pr 3.32-3.53, 1 Pm 3.40, 4 Tb 3.54-3.61
Pr9 0.7500 0.2500 0.5000  4 Pr 3.32
Pr10 0.9265 0.7115 0.2150  4 Pr 3.32-3.53, 1 Pm 3.40, 4 Tb 3.54-3.61

Fermi-level density of states = 21.81 states/eV/cell
symmetry = I4/mmm, No. 139
formation energy = 227 meV per atom


Please write out number 1 again, unchanged.
First-principles (PBE-GGA) data for a geometry-optimized Sr2CaEu structure, as listed in Alexandria.

a = 5.8209 Å, b = 5.8209 Å, c = 5.8041 Å
α = 90.00°, β = 90.00°, γ = 90.00°
Last column: nearest neighbours and their distance in Å.
Element x y z (fractional)
Sr1 0.0000 0.5000 0.0000  4 Ca 4.11, 4 Eu 4.11, 4 Sr 4.12
Sr2 0.5000 0.0000 0.0000  4 Ca 4.11, 4 Eu 4.11, 4 Sr 4.12
Ca1 0.0000 0.0000 0.5000  8 Sr 4.11, 4 Eu 4.12
Eu1 0.5000 0.5000 0.5000  8 Sr 4.11, 4 Ca 4.12

ΔE to the lowest computed polymorph = 7 meV/atom
Fermi-level density of states = 4.09 states/eV/cell
symmetry = P4/mmm, No. 123
formation energy = 34 meV per atom